AlCl5 at its PBEsol-relaxed geometry, computed with SCAN.

Results
The calculation puts the formation energy without anion corrections at -0.622 eV per atom. For the density of states at the Fermi level, the calculation gives 6.75 states/eV/f.u. For the density, the calculation gives 1.85 Mg/m³. The crystal system is hexagonal. Its energy above the most stable polymorph in this dataset is 422 meV/atom.

Lattice parameters (Å, degrees): 8.6252 8.6252 2.8514 90.00 90.00 120.00
Space group P-62m (No. 189)
Inequivalent atoms, fractional coordinates:
Al 0.0000 0.0000 0.0000 (multiplicity 1)
Cl 0.0000 0.7906 0.5000 (multiplicity 3)
Cl 0.3333 0.6667 0.0000 (multiplicity 2)